A plane-wave DFT calculation with PBE was carried out for a relaxed structure of Li2FeAg.

Results
Total magnetization: 5.3 μB/cell
DOS at the Fermi energy: 4.3 states/eV/f.u.
Formation enthalpy at 0 K: 0.2213 eV per atom
Crystal system: orthorhombic
VASP energy: -28.51 eV for the cell shown

Cell: 5.4440 8.2154 2.6711 Å, 90.00 90.00 90.00°
With the nearest neighbours (Å) after each atom.
Space group Cmmm (No. 65)
Inequivalent atoms, fractional coordinates:
Li: 0.2500 0.2500 0.0000  4 Li 2.67-2.72, 4 Fe 2.80, 4 Ag 2.80
Fe: 0.0000 0.0000 0.5000  2 Fe 2.67, 2 Ag 2.72, 8 Li 2.80
Ag: 0.0000 0.5000 0.5000  2 Ag 2.67, 2 Fe 2.72, 8 Li 2.80